A relaxed structure of SrCuPt. Source: Alexandria, functional GGA-PBEsol.

Summary:
Space group ... Imm2, No. 44
Energy of formation ... -214 meV per atom

Geometry as extended XYZ:
```
3
Lattice="-1.547 1.909 5.037 1.547 -1.909 5.037 1.547 1.909 -5.037" Properties=species:S:1:pos:R:3 pbc="T T T"
Sr 0.000 0.000 0.000
Cu 0.000 0.000 7.215
Pt 0.000 0.000 2.984
```

---

A relaxed structure of SrCuPt. Source: Alexandria, functional GGA-PBEsol.

Summary:
Space group ... P-6m2, No. 187
Energy of formation ... -420 meV per atom

Geometry as extended XYZ:
```
3
Lattice="4.252 0.000 0.000 -2.126 3.682 0.000 0.000 0.000 4.170" Properties=species:S:1:pos:R:3 pbc="T T T"
Sr 0.000 0.000 0.000
Cu 0.000 2.455 2.085
Pt 2.126 1.227 2.085
```

---

A relaxed structure of TaCuPt3. Source: Alexandria, functional GGA-PBEsol.

Summary:
Space group ... Pm-3m, No. 221
Energy of formation ... 1297 meV per atom

Geometry as extended XYZ:
```
5
Lattice="4.789 0.000 0.000 0.000 4.789 0.000 0.000 0.000 4.789" Properties=species:S:1:pos:R:3 pbc="T T T"
Ta 0.000 0.000 0.000
Cu 2.395 2.395 2.395
Pt 0.000 0.000 2.395
Pt 0.000 2.395 0.000
Pt 2.395 0.000 0.000
```

---

A relaxed structure of Ta2CuPt. Source: Alexandria, functional GGA-PBEsol.

Summary:
Space group ... P4mm, No. 99
Energy of formation ... -273 meV per atom

Geometry as extended XYZ:
```
4
Lattice="3.254 0.000 0.000 0.000 3.254 0.000 0.000 0.000 5.892" Properties=species:S:1:pos:R:3 pbc="T T T"
Ta 0.000 0.000 0.000
Ta 1.627 1.627 1.746
Cu 0.000 0.000 3.084
Pt 1.627 1.627 4.467
```

---

A relaxed structure of TaCu4Pt. Source: Alexandria, functional GGA-PBEsol.

Summary:
Space group ... F-43m, No. 216
Energy of formation ... -187 meV per atom

Geometry as extended XYZ:
```
6
Lattice="0.000 3.355 3.355 3.355 0.000 3.355 3.355 3.355 0.000" Properties=species:S:1:pos:R:3 pbc="T T T"
Ta 0.000 0.000 0.000
Cu 2.517 2.517 2.517
Cu 4.193 4.193 2.517
Cu 4.193 2.517 4.193
Cu 2.517 4.193 4.193
Pt 5.032 5.032 5.032
```

---

A relaxed structure of TaCuPt2. Source: Alexandria, functional GGA-PBEsol.

Summary:
Space group ... P4/mmm, No. 123
Energy of formation ... -489 meV per atom

Geometry as extended XYZ:
```
4
Lattice="2.833 0.000 0.000 0.000 2.833 0.000 0.000 0.000 7.278" Properties=species:S:1:pos:R:3 pbc="T T T"
Ta 0.000 0.000 0.000
Cu 0.000 0.000 3.639
Pt 1.416 1.416 1.905
Pt 1.416 1.416 5.372
```

---

A relaxed structure of TaCuPt2. Source: Alexandria, functional GGA-PBEsol.

Summary:
Space group ... I-4m2, No. 119
Energy of formation ... -479 meV per atom

Geometry as extended XYZ:
```
4
Lattice="-1.907 1.907 4.028 1.907 -1.907 4.028 1.907 1.907 -4.028" Properties=species:S:1:pos:R:3 pbc="T T T"
Ta 0.000 0.000 0.000
Cu 1.907 0.000 2.014
Pt 0.000 0.000 4.028
Pt 0.000 1.907 2.014
```

---

A relaxed structure of TaCuPt2. Source: Alexandria, functional GGA-PBEsol.

Summary:
Space group ... Pmmm, No. 47
Energy of formation ... -523 meV per atom

Geometry as extended XYZ:
```
4
Lattice="2.803 0.000 0.000 0.000 3.786 0.000 0.000 0.000 5.520" Properties=species:S:1:pos:R:3 pbc="T T T"
Ta 0.000 0.000 0.000
Cu 0.000 0.000 2.760
Pt 1.402 1.893 1.420
Pt 1.402 1.893 4.100
```

---

A relaxed structure of Tb4CuPt3. Source: Alexandria, functional GGA-PBEsol.

Summary:
Space group ... Pm, No. 6
Energy of formation ... -1003 meV per atom

Geometry as extended XYZ:
```
8
Lattice="5.500 0.000 0.000 0.000 4.439 0.000 -0.035 0.000 6.993" Properties=species:S:1:pos:R:3 pbc="T T T"
Tb 0.000 0.000 0.000
Tb 1.163 0.000 3.483
Tb 2.670 2.220 6.071
Tb 3.924 2.220 2.510
Cu 3.938 0.000 4.512
Pt 1.097 2.220 1.596
Pt 2.828 0.000 0.953
Pt 5.405 2.220 5.006
```

---

A relaxed structure of Tb2CuPt. Source: Alexandria, functional GGA-PBEsol.

Summary:
Space group ... Pmc2_1, No. 26
Energy of formation ... -765 meV per atom

Geometry as extended XYZ:
```
8
Lattice="4.396 0.000 0.000 0.000 5.462 0.000 0.000 0.000 7.048" Properties=species:S:1:pos:R:3 pbc="T T T"
Tb 0.000 0.593 0.000
Tb 0.000 4.869 3.524
Tb 2.198 2.089 2.578
Tb 2.198 3.373 6.102
Cu 0.000 2.126 4.551
Cu 0.000 3.336 1.027
Pt 2.198 0.638 5.076
Pt 2.198 4.824 1.552
```

---

A relaxed structure of CuTcPt. Source: Alexandria, functional GGA-PBEsol.

Summary:
Space group ... P-6m2, No. 187
Energy of formation ... 65 meV per atom

Geometry as extended XYZ:
```
3
Lattice="4.243 0.000 0.000 -2.121 3.674 0.000 0.000 0.000 2.602" Properties=species:S:1:pos:R:3 pbc="T T T"
Cu 0.000 0.000 0.000
Tc 0.000 2.450 1.301
Pt 2.121 1.225 0.000
```

---

A relaxed structure of CuTcPt4. Source: Alexandria, functional GGA-PBEsol.

Summary:
Space group ... F-43m, No. 216
Energy of formation ... 409 meV per atom

Geometry as extended XYZ:
```
6
Lattice="0.000 3.632 3.632 3.632 0.000 3.632 3.632 3.632 0.000" Properties=species:S:1:pos:R:3 pbc="T T T"
Cu 0.000 0.000 0.000
Tc 5.448 5.448 5.448
Pt 2.723 2.723 2.723
Pt 4.541 4.541 2.723
Pt 4.541 2.723 4.541
Pt 2.723 4.541 4.541
```

---

A relaxed structure of CuTePt. Source: Alexandria, functional GGA-PBEsol.

Summary:
Space group ... F-43m, No. 216
Uncorrected formation energy ... 0.16 eV per atom

Geometry as extended XYZ:
```
3
Lattice="0.000 3.065 3.065 3.065 0.000 3.065 3.065 3.065 0.000" Properties=species:S:1:pos:R:3 pbc="T T T"
Cu 0.000 0.000 0.000
Te 1.533 1.533 1.533
Pt 3.065 3.065 3.065
```

---

A relaxed structure of CuTe2Pt. Source: Alexandria, functional GGA-PBEsol.

Summary:
Space group ... Cmmm, No. 65
Uncorrected formation energy ... 0.06 eV per atom

Geometry as extended XYZ:
```
4
Lattice="2.963 -3.767 0.000 2.963 3.767 0.000 0.000 0.000 3.822" Properties=species:S:1:pos:R:3 pbc="T T T"
Cu 0.000 0.000 0.000
Te 2.963 1.830 1.911
Te 2.963 -1.830 1.911
Pt 2.963 0.000 0.000
```

---

A relaxed structure of CuTe2Pt. Source: Alexandria, functional GGA-PBEsol.

Summary:
Space group ... Cm, No. 8
Uncorrected formation energy ... -0.13 eV per atom

Geometry as extended XYZ:
```
4
Lattice="3.417 -1.988 0.000 3.417 1.988 0.000 -2.311 0.000 6.230" Properties=species:S:1:pos:R:3 pbc="T T T"
Cu 0.000 0.000 0.000
Te -0.018 0.000 5.088
Te 2.256 0.000 2.555
Pt 4.542 0.000 1.266
```

---

A relaxed structure of CuTe4Pt. Source: Alexandria, functional GGA-PBEsol.

Summary:
Space group ... F-43m, No. 216
Uncorrected formation energy ... 1.04 eV per atom

Geometry as extended XYZ:
```
6
Lattice="0.000 4.247 4.247 4.247 0.000 4.247 4.247 4.247 0.000" Properties=species:S:1:pos:R:3 pbc="T T T"
Cu 0.000 0.000 0.000
Te 5.305 3.189 3.189
Te 3.189 5.305 3.189
Te 3.189 3.189 5.305
Te 5.305 5.305 5.305
Pt 2.124 2.124 2.124
```

---

A relaxed structure of CuTePt2. Source: Alexandria, functional GGA-PBEsol.

Summary:
Space group ... I4/mmm, No. 139
Uncorrected formation energy ... 0.03 eV per atom

Geometry as extended XYZ:
```
4
Lattice="-2.080 2.080 3.716 2.080 -2.080 3.716 2.080 2.080 -3.716" Properties=species:S:1:pos:R:3 pbc="T T T"
Cu 0.000 0.000 0.000
Te 0.000 0.000 3.716
Pt 2.080 0.000 1.858
Pt 0.000 2.080 1.858
```

---

A relaxed structure of Tl2CuPt. Source: Alexandria, functional GGA-PBEsol.

Summary:
Space group ... C2/m, No. 12
Energy of formation ... 232 meV per atom

Geometry as extended XYZ:
```
4
Lattice="3.336 -3.093 0.000 3.336 3.093 0.000 -0.501 0.000 3.636" Properties=species:S:1:pos:R:3 pbc="T T T"
Tl 1.668 1.546 0.000
Tl 1.668 -1.546 0.000
Cu -0.250 0.000 1.818
Pt 3.086 0.000 1.818
```

---

A relaxed structure of Tl2CuPt. Source: Alexandria, functional GGA-PBEsol.

Summary:
Space group ... Fm-3m, No. 225
Energy of formation ... 215 meV per atom

Geometry as extended XYZ:
```
4
Lattice="0.000 3.328 3.328 3.328 0.000 3.328 3.328 3.328 0.000" Properties=species:S:1:pos:R:3 pbc="T T T"
Tl 1.664 1.664 1.664
Tl 4.992 4.992 4.992
Cu 0.000 0.000 0.000
Pt 3.328 3.328 3.328
```

---

A relaxed structure of Tl2CuPt. Source: Alexandria, functional GGA-PBEsol.

Summary:
Space group ... Cmmm, No. 65
Energy of formation ... 240 meV per atom

Geometry as extended XYZ:
```
4
Lattice="3.247 -3.255 0.000 3.247 3.255 0.000 0.000 0.000 3.489" Properties=species:S:1:pos:R:3 pbc="T T T"
Tl 1.624 1.627 0.000
Tl 1.624 -1.627 0.000
Cu 0.000 0.000 1.745
Pt 3.247 0.000 1.745
```

---

A relaxed structure of Tm2CuPt. Source: Alexandria, functional GGA-PBEsol.

Summary:
Space group ... Fm-3m, No. 225
Energy of formation ... -790 meV per atom

Geometry as extended XYZ:
```
4
Lattice="0.000 3.377 3.377 3.377 0.000 3.377 3.377 3.377 0.000" Properties=species:S:1:pos:R:3 pbc="T T T"
Tm 1.689 1.689 1.689
Tm 5.066 5.066 5.066
Cu 0.000 0.000 0.000
Pt 3.377 3.377 3.377
```

---

A relaxed structure of CuPtW2. Source: Alexandria, functional GGA-PBEsol.

Summary:
Space group ... Immm, No. 71
Energy of formation ... 84 meV per atom

Geometry as extended XYZ:
```
4
Lattice="-1.815 1.906 4.159 1.815 -1.906 4.159 1.815 1.906 -4.159" Properties=species:S:1:pos:R:3 pbc="T T T"
Cu 0.000 0.000 0.000
Pt 0.000 0.000 4.159
W 1.815 0.000 2.062
W 0.000 1.906 2.096
```

---

A relaxed structure of CuPtW2. Source: Alexandria, functional GGA-PBEsol.

Summary:
Space group ... R3m, No. 160
Energy of formation ... 171 meV per atom

Geometry as extended XYZ:
```
4
Lattice="1.375 0.794 8.970 -1.375 0.794 8.970 0.000 -1.588 8.970" Properties=species:S:1:pos:R:3 pbc="T T T"
Cu 0.000 0.000 0.000
Pt 0.000 0.000 6.817
W 0.000 0.000 13.554
W 0.000 0.000 20.101
```

---

A relaxed structure of Cu2PtW. Source: Alexandria, functional GGA-PBEsol.

Summary:
Space group ... Pmm2, No. 25
Energy of formation ... 69 meV per atom

Geometry as extended XYZ:
```
4
Lattice="2.685 0.000 0.000 0.000 3.834 0.000 0.000 0.000 5.273" Properties=species:S:1:pos:R:3 pbc="T T T"
Cu 0.000 0.000 0.000
Cu 1.342 1.917 1.149
Pt 0.000 0.000 2.606
W 1.342 1.917 3.840
```

---

A relaxed structure of CuPtW. Source: Alexandria, functional GGA-PBEsol.

Summary:
Space group ... F-43m, No. 216
Energy of formation ... 434 meV per atom

Geometry as extended XYZ:
```
3
Lattice="0.000 2.921 2.921 2.921 0.000 2.921 2.921 2.921 0.000" Properties=species:S:1:pos:R:3 pbc="T T T"
Cu 0.000 0.000 0.000
Pt 1.460 1.460 1.460
W 2.921 2.921 2.921
```

---

A relaxed structure of Cu2PtW. Source: Alexandria, functional GGA-PBEsol.

Summary:
Space group ... C2/m, No. 12
Energy of formation ... 207 meV per atom

Geometry as extended XYZ:
```
4
Lattice="2.639 -4.442 0.000 2.639 4.442 0.000 -1.184 0.000 2.347" Properties=species:S:1:pos:R:3 pbc="T T T"
Cu 1.320 2.221 0.000
Cu 1.320 -2.221 0.000
Pt -0.592 0.000 1.174
W 2.047 0.000 1.174
```

---

A relaxed structure of CuPtW2. Source: Alexandria, functional GGA-PBEsol.

Summary:
Space group ... Pmm2, No. 25
Energy of formation ... 46 meV per atom

Geometry as extended XYZ:
```
4
Lattice="2.687 0.000 0.000 0.000 3.880 0.000 0.000 0.000 5.575" Properties=species:S:1:pos:R:3 pbc="T T T"
Cu 0.000 0.000 0.000
Pt 1.343 1.940 1.312
W 0.000 0.000 2.765
W 1.343 1.940 4.253
```

---

A relaxed structure of Cu2PtW. Source: Alexandria, functional GGA-PBEsol.

Summary:
Space group ... Imm2, No. 44
Energy of formation ... 137 meV per atom

Geometry as extended XYZ:
```
4
Lattice="-1.388 2.199 4.336 1.388 -2.199 4.336 1.388 2.199 -4.336" Properties=species:S:1:pos:R:3 pbc="T T T"
Cu 0.000 0.000 0.000
Cu 0.000 2.199 2.396
Pt 0.000 0.000 4.548
W 1.388 0.000 2.231
```

---

A relaxed structure of YCuPt. Source: Alexandria, functional GGA-PBEsol.

Summary:
Space group ... P-6m2, No. 187
Energy of formation ... -713 meV per atom

Geometry as extended XYZ:
```
3
Lattice="4.295 0.000 0.000 -2.148 3.720 0.000 0.000 0.000 3.483" Properties=species:S:1:pos:R:3 pbc="T T T"
Y 0.000 0.000 0.000
Cu 0.000 2.480 1.741
Pt 2.148 1.240 1.741
```

---

A relaxed structure of Y2CuPt. Source: Alexandria, functional GGA-PBEsol.

Summary:
Space group ... P4/mmm, No. 123
Energy of formation ... -716 meV per atom

Geometry as extended XYZ:
```
4
Lattice="4.850 0.000 0.000 0.000 4.850 0.000 0.000 0.000 3.444" Properties=species:S:1:pos:R:3 pbc="T T T"
Y 0.000 2.425 0.000
Y 2.425 0.000 0.000
Cu 0.000 0.000 1.722
Pt 2.425 2.425 1.722
```